(1)
# GaCF3

A relaxed GaCF3 crystal (PBE-GGA, Alexandria via LeMat-Bulk).

Cell: 3.918 3.918 3.918 Å, 90.00 90.00 90.00°
Space group Pm-3m (No. 221)
Unique sites:
Ga (0.000, 0.000, 0.000) (multiplicity 1)
C (0.500, 0.500, 0.500) (multiplicity 1)
F (0.000, 0.000, 0.500) (multiplicity 3)

## Properties
Energy above the most stable polymorph in this dataset in meV per atom: 0
V in A^3/atom: 12.0
Electronic total energy in eV/cell: -19.90
ΔE_f (raw) in meV/atom: -407



(2)
# GaCF2

A relaxed GaCF2 crystal (PBE-GGA, Alexandria via LeMat-Bulk).

Cell: 5.703 5.703 5.703 Å, 90.00 90.00 90.00°
Space group Fm-3m (No. 225)
Unique sites:
Ga (0.000, 0.000, 0.000) (multiplicity 4)
C (0.000, 0.000, 0.500) (multiplicity 4)
F (0.250, 0.250, 0.250) (multiplicity 8)

## Properties
Energy above the most stable polymorph in this dataset in meV per atom: 257
V in A^3/atom: 11.6
Electronic total energy in eV/cell: -55.08
ΔE_f (raw) in meV/atom: 556



(3)
# Ga2CF

A relaxed Ga2CF crystal (PBE-GGA, Alexandria via LeMat-Bulk).

Cell: 4.922 4.922 9.823 Å, 90.00 90.00 90.00°
Space group I-42d (No. 122)
Unique sites:
Ga (0.196, 0.250, 0.125) (multiplicity 8)
C (0.000, 0.000, 0.000) (multiplicity 4)
F (0.000, 0.000, 0.500) (multiplicity 4)

## Properties
Energy above the most stable polymorph in this dataset in meV per atom: 0
V in A^3/atom: 14.9
Electronic total energy in eV/cell: -72.94
ΔE_f (raw) in meV/atom: -272



Please write out number 1 again, unchanged.
# GaCF3

A relaxed GaCF3 crystal (PBE-GGA, Alexandria via LeMat-Bulk).

Cell: 3.918 3.918 3.918 Å, 90.00 90.00 90.00°
Space group Pm-3m (No. 221)
Unique sites:
Ga (0.000, 0.000, 0.000) (multiplicity 1)
C (0.500, 0.500, 0.500) (multiplicity 1)
F (0.000, 0.000, 0.500) (multiplicity 3)

## Properties
Energy above the most stable polymorph in this dataset in meV per atom: 0
V in A^3/atom: 12.0
Electronic total energy in eV/cell: -19.90
ΔE_f (raw) in meV/atom: -407